TcAsCl2: relaxed, PBE.

Summary:
* E_form (uncorrected): -0.14 eV per atom

Lattice parameters (Å, degrees): 3.274 3.274 8.864 90.00 90.00 90.00
Space group P4mm (No. 99)
One atom of each set of equivalent atoms:
Tc 0.000 0.000 0.000 (multiplicity 1)
As 0.500 0.500 0.889 (multiplicity 1)
Cl 0.000 0.000 0.254 (multiplicity 1)
Cl 0.500 0.500 0.641 (multiplicity 1)

---

Li3Ca2Au2: relaxed, PBE.

Summary:
* formation energy: -510 meV/atom

Lattice parameters (Å, degrees): 10.607 4.298 7.542 90.00 113.35 90.00
Space group C2/m (No. 12)
One atom of each set of equivalent atoms:
Li 0.000 0.000 0.000 (multiplicity 2)
Li 0.146 0.000 0.435 (multiplicity 4)
Ca 0.139 0.500 0.783 (multiplicity 4)
Au 0.148 0.500 0.205 (multiplicity 4)

---

HfAs2HCl: relaxed, PBE.

Lattice parameters (Å, degrees): 4.025 4.025 4.950 90.00 90.00 90.00
Space group P4/mmm (No. 123)
One atom of each set of equivalent atoms:
Hf 0.000 0.000 0.000 (multiplicity 1)
As 0.000 0.500 0.500 (multiplicity 2)
H 0.000 0.000 0.500 (multiplicity 1)
Cl 0.500 0.500 0.000 (multiplicity 1)

---

K2CrRe: relaxed, PBE.

Summary:
* formation energy: 1561 meV/atom

Lattice parameters (Å, degrees): 3.896 3.896 11.758 90.00 90.00 90.00
Space group I4/mmm (No. 139)
One atom of each set of equivalent atoms:
K 0.000 0.500 0.250 (multiplicity 4)
Cr 0.000 0.000 0.000 (multiplicity 2)
Re 0.000 0.000 0.500 (multiplicity 2)

---

Number 1: total DFT energy (no corrections) -19.25 eV for the cell shown. Number 2: total DFT energy (no corrections) -39.74 eV for the cell shown. Number 3: total DFT energy (no corrections) -23.67 eV for the cell shown. Number 4: total DFT energy (no corrections) -36.04 eV for the cell shown.